# CaZnAu, relaxed, DFT GGA-PBE
# total magnetic moment	0.00	μB/atom
# DFT total energy	-2.66	eV/atom
# calculated volume	64.1	Å³/cell
data_CaZnAu
_space_group_name_H-M_alt 'P 1'
_space_group_IT_number 1
_space_group_name_Hall 'P 1'
_cell_length_a 5.642
_cell_length_b 5.642
_cell_length_c 5.642
_cell_angle_alpha 143.18
_cell_angle_beta 143.17
_cell_angle_gamma 53.06
loop_
_atom_site_label
_atom_site_type_symbol
_atom_site_fract_x
_atom_site_fract_y
_atom_site_fract_z
Zn1 Zn 0.641 0.641 0.000
Ca1 Ca 0.336 0.336 0.000
Au1 Au 0.023 0.023 0.000